[1]
Compound: TbYNb2Si2
Source: the Open Quantum Materials Database
Functional: GGA-PBE
Structure: relaxed

a b c (Å): 4.0084 4.0084 7.8109
angles (deg): 90.00 90.00 90.00
Closest atoms and distances in Å follow each position.
Positions (direct):
1 Tb 0.0000 0.0000 0.0000  5 Si 2.97-3.18
2 Y 0.5000 0.5000 0.7067  5 Si 2.97-3.19
3 Nb 0.0000 0.5000 0.3535  4 Si 2.74, 4 Nb 2.83
4 Nb 0.5000 0.0000 0.3535  4 Si 2.74, 4 Nb 2.83
5 Si 0.0000 0.0000 0.5923  4 Nb 2.74, 4 Y 2.97
6 Si 0.5000 0.5000 0.1147  4 Nb 2.74, 4 Tb 2.97

Values from the calculation:
raw total energy	-7.66	eV per atom
density	6.48	g cm⁻³

=====

[2]
Compound: NbSiTc
Source: the Open Quantum Materials Database
Functional: GGA-PBE
Structure: relaxed

a b c (Å): 3.2044 3.2044 8.8063
angles (deg): 90.00 90.00 90.00
Closest atoms and distances in Å follow each position.
Positions (direct):
1 Nb 0.2500 0.2500 0.0964  4 Tc 2.82, 4 Nb 2.83, 1 Si 2.85
2 Nb 0.7500 0.7500 0.9036  4 Tc 2.82, 4 Nb 2.83, 1 Si 2.85
3 Si 0.2500 0.2500 0.4205  5 Tc 2.55-2.57, 4 Si 2.66, 1 Nb 2.85
4 Si 0.7500 0.7500 0.5795  5 Tc 2.55-2.57, 4 Si 2.66, 1 Nb 2.85
5 Tc 0.2500 0.2500 0.7124  5 Si 2.55-2.57, 4 Nb 2.82
6 Tc 0.7500 0.7500 0.2876  5 Si 2.55-2.57, 4 Nb 2.82

Values from the calculation:
raw total energy	-9.08	eV per atom
density	8.04	g cm⁻³
relative energy among the computed polymorphs	173	meV per atom

=====

[3]
Compound: NbSiTc2
Source: the Open Quantum Materials Database
Functional: GGA-PBE
Structure: relaxed

a b c (Å): 4.3896 4.3896 4.3896
angles (deg): 60.00 60.00 60.00
Closest atoms and distances in Å follow each position.
Positions (direct):
1 Nb 0.0000 0.0000 0.0000  4 Si 2.69, 4 Tc 2.69
2 Si 0.7500 0.7500 0.7500  4 Nb 2.69, 4 Tc 2.69
3 Tc 0.2500 0.2500 0.2500  4 Nb 2.69, 4 Tc 2.69
4 Tc 0.5000 0.5000 0.5000  4 Tc 2.69, 4 Si 2.69

Values from the calculation:
raw total energy	-9.12	eV per atom
density	8.80	g cm⁻³

=====

[4]
Compound: NbSiTc
Source: the Open Quantum Materials Database
Functional: GGA-PBE
Structure: relaxed

a b c (Å): 6.8755 6.8755 3.2935
angles (deg): 90.00 90.00 120.00
Closest atoms and distances in Å follow each position.
Positions (direct):
1 Nb 0.0000 0.5971 0.0000  5 Si 2.66-2.77, 6 Tc 2.85-2.94
2 Nb 0.4029 0.4029 0.0000  5 Si 2.66-2.77, 6 Tc 2.85-2.94
3 Nb 0.5971 0.0000 0.0000  5 Si 2.66-2.77, 6 Tc 2.85-2.94
4 Si 0.0000 0.0000 0.0000  6 Tc 2.42
5 Si 0.3333 0.6667 0.5000  3 Tc 2.59, 6 Nb 2.66
6 Si 0.6667 0.3333 0.5000  3 Tc 2.59, 6 Nb 2.66
7 Tc 0.0000 0.2583 0.5000  4 Si 2.42-2.59
8 Tc 0.2583 0.0000 0.5000  4 Si 2.42-2.59
9 Tc 0.7417 0.7417 0.5000  4 Si 2.42-2.59

Values from the calculation:
raw total energy	-9.25	eV per atom
density	8.09	g cm⁻³
relative energy among the computed polymorphs	0	meV per atom